Below is crystalline AlWF2 at its relaxed geometry, with properties calculated at the GGA+U level.

Cell: 8.3145 8.3145 8.3145 Å, 19.28 19.28 19.28°
Each line ends with the local moment (μB).
Sites, in units of the cell vectors:
W 0.5000 0.5000 0.5000  0.68
F 0.0754 0.0754 0.0754  0.01
Al 0.0000 0.0000 0.0000  0.00
F 0.9246 0.9246 0.9246  0.01

Results
Size of the total moment: 0.84 μB/f.u.
D(E_F): 0.1958 states/eV per atom
Total DFT energy (no corrections): -17.550 eV/cell